The following is a meta-GGA SCAN calculation of Tb4Te3N2 at its PBEsol-relaxed geometry, from Alexandria via LeMat-Bulk.

Geometry as extended XYZ:
```
36
Lattice="7.254 0.000 0.000 0.000 11.549 0.000 0.000 0.000 10.870" Properties=species:S:1:pos:R:3 pbc="T T T"
Tb 0.183 1.049 1.920
Tb 0.183 4.725 3.515
Tb 1.185 7.550 1.254
Tb 1.185 9.773 4.181
Tb 2.442 1.776 4.181
Tb 2.442 3.999 1.254
Tb 3.444 6.824 3.515
Tb 3.444 10.499 1.920
Tb 3.810 1.049 8.950
Tb 3.810 4.725 7.355
Tb 4.813 7.550 9.617
Tb 4.813 9.773 6.689
Tb 6.069 1.776 6.689
Tb 6.069 3.999 9.617
Tb 7.071 6.824 7.355
Tb 7.071 10.499 8.950
Te 0.962 1.874 9.966
Te 0.962 3.900 6.339
Te 1.814 0.000 6.648
Te 1.814 5.774 9.657
Te 2.665 7.649 6.339
Te 2.665 9.674 9.966
Te 4.590 1.874 0.904
Te 4.590 3.900 4.531
Te 5.441 0.000 4.222
Te 5.441 5.774 1.213
Te 6.292 7.649 4.531
Te 6.292 9.674 0.904
N 1.148 2.887 2.718
N 1.814 0.000 2.998
N 1.814 5.774 2.437
N 2.479 8.662 2.718
N 4.775 2.887 8.153
N 5.441 0.000 7.872
N 5.441 5.774 8.433
N 6.107 8.662 8.153
```

Calculated values
The calculation puts the uncorrected formation energy at -1.7717 eV per atom. The value obtained for the total energy is -1333.32 eV per cell. For the density of states at the Fermi level, the calculation gives 0.000 states/eV/atom.

---

The following is a meta-GGA SCAN calculation of Tc2N at its PBEsol-relaxed geometry, from Alexandria via LeMat-Bulk.

Geometry as extended XYZ:
```
6
Lattice="2.803 0.000 0.000 -1.401 2.427 0.000 0.000 0.000 9.638" Properties=species:S:1:pos:R:3 pbc="T T T"
Tc 0.000 1.618 1.041
Tc 0.000 1.618 3.778
Tc 1.401 0.809 5.860
Tc 1.401 0.809 8.597
N 0.000 1.618 7.229
N 1.401 0.809 2.410
```

Calculated values
The calculation puts the uncorrected formation energy at -0.2344 eV per atom. The value obtained for the total energy is -160.23 eV per cell. For the density of states at the Fermi level, the calculation gives 0.387 states/eV/atom.

---

The following is a meta-GGA SCAN calculation of TcTeN3 at its PBEsol-relaxed geometry, from Alexandria via LeMat-Bulk.

Geometry as extended XYZ:
```
5
Lattice="3.938 0.000 0.000 0.000 3.938 0.000 0.000 0.000 3.938" Properties=species:S:1:pos:R:3 pbc="T T T"
Tc 0.000 0.000 0.000
Te 1.969 1.969 1.969
N 0.000 1.969 1.969
N 1.969 0.000 1.969
N 1.969 1.969 0.000
```

Calculated values
The calculation puts the uncorrected formation energy at 1.8764 eV per atom. The value obtained for the total energy is -90.80 eV per cell. For the density of states at the Fermi level, the calculation gives 0.697 states/eV/atom.

---

The following is a meta-GGA SCAN calculation of Ti2Tc2N at its PBEsol-relaxed geometry, from Alexandria via LeMat-Bulk.

Geometry as extended XYZ:
```
5
Lattice="-1.554 1.554 7.016 1.554 -1.554 7.016 1.554 1.554 -7.016" Properties=species:S:1:pos:R:3 pbc="T T T"
Ti 1.554 0.000 3.508
Ti 0.000 1.554 3.508
Tc 0.000 0.000 1.188
Tc 0.000 0.000 12.844
N 0.000 0.000 7.016
```

Calculated values
The calculation puts the uncorrected formation energy at 1.4132 eV per atom. The value obtained for the total energy is -104.40 eV per cell. For the density of states at the Fermi level, the calculation gives 1.145 states/eV/atom.

---

The following is a meta-GGA SCAN calculation of TiTc2N2 at its PBEsol-relaxed geometry, from Alexandria via LeMat-Bulk.

Geometry as extended XYZ:
```
5
Lattice="-1.862 1.862 4.347 1.862 -1.862 4.347 1.862 1.862 -4.347" Properties=species:S:1:pos:R:3 pbc="T T T"
Ti 0.000 0.000 0.000
Tc 1.862 0.000 2.173
Tc 0.000 1.862 2.173
N 0.000 0.000 3.028
N 0.000 0.000 5.665
```

Calculated values
The calculation puts the uncorrected formation energy at 0.2509 eV per atom. The value obtained for the total energy is -103.48 eV per cell. For the density of states at the Fermi level, the calculation gives 0.734 states/eV/atom.

---

The following is a meta-GGA SCAN calculation of Tl2TcN at its PBEsol-relaxed geometry, from Alexandria via LeMat-Bulk.

Geometry as extended XYZ:
```
4
Lattice="0.000 3.261 3.261 3.261 0.000 3.261 3.261 3.261 0.000" Properties=species:S:1:pos:R:3 pbc="T T T"
Tl 1.631 1.631 1.631
Tl 4.892 4.892 4.892
Tc 0.000 0.000 0.000
N 3.261 3.261 3.261
```

Calculated values
The calculation puts the uncorrected formation energy at 1.5892 eV per atom. The value obtained for the total energy is -182.71 eV per cell. For the density of states at the Fermi level, the calculation gives 0.443 states/eV/atom.

---

The following is a meta-GGA SCAN calculation of TlTcN3 at its PBEsol-relaxed geometry, from Alexandria via LeMat-Bulk.

Geometry as extended XYZ:
```
5
Lattice="4.142 0.000 0.000 0.000 4.142 0.000 0.000 0.000 4.142" Properties=species:S:1:pos:R:3 pbc="T T T"
Tl 0.000 0.000 0.000
Tc 2.071 2.071 2.071
N 0.000 0.000 2.071
N 0.000 2.071 0.000
N 2.071 0.000 0.000
```

Calculated values
The calculation puts the uncorrected formation energy at 2.7254 eV per atom. The value obtained for the total energy is -121.66 eV per cell. For the density of states at the Fermi level, the calculation gives 0.497 states/eV/atom.

---

The following is a meta-GGA SCAN calculation of Tl3TcN at its PBEsol-relaxed geometry, from Alexandria via LeMat-Bulk.

Geometry as extended XYZ:
```
5
Lattice="5.236 0.000 0.000 0.000 5.236 0.000 0.000 0.000 5.236" Properties=species:S:1:pos:R:3 pbc="T T T"
Tl 0.000 0.000 2.618
Tl 0.000 2.618 0.000
Tl 2.618 0.000 0.000
Tc 0.000 0.000 0.000
N 2.618 2.618 2.618
```

Calculated values
The calculation puts the uncorrected formation energy at 1.2182 eV per atom. The value obtained for the total energy is -255.34 eV per cell. For the density of states at the Fermi level, the calculation gives 0.463 states/eV/atom.

---

The following is a meta-GGA SCAN calculation of ZnTcN2 at its PBEsol-relaxed geometry, from Alexandria via LeMat-Bulk.

Geometry as extended XYZ:
```
4
Lattice="1.424 0.822 6.210 -1.424 0.822 6.210 0.000 -1.644 6.210" Properties=species:S:1:pos:R:3 pbc="T T T"
Zn 0.000 0.000 0.000
Tc 0.000 0.000 9.315
N 0.000 0.000 1.879
N 0.000 0.000 16.750
```

Calculated values
The calculation puts the uncorrected formation energy at 0.1192 eV per atom. The value obtained for the total energy is -66.68 eV per cell. For the density of states at the Fermi level, the calculation gives 0.497 states/eV/atom.

---

The following is a meta-GGA SCAN calculation of ZnTcN at its PBEsol-relaxed geometry, from Alexandria via LeMat-Bulk.

Geometry as extended XYZ:
```
3
Lattice="2.371 -1.388 0.000 2.371 1.388 0.000 -1.508 0.000 5.358" Properties=species:S:1:pos:R:3 pbc="T T T"
Zn 0.000 0.000 0.000
Tc 1.653 0.000 3.161
N 0.046 0.000 1.945
```

Calculated values
The calculation puts the uncorrected formation energy at -0.1517 eV per atom. The value obtained for the total energy is -58.32 eV per cell. For the density of states at the Fermi level, the calculation gives 0.589 states/eV/atom.

---

The following is a meta-GGA SCAN calculation of ZrTc3N at its PBEsol-relaxed geometry, from Alexandria via LeMat-Bulk.

Geometry as extended XYZ:
```
5
Lattice="4.666 0.000 0.000 0.000 4.666 0.000 0.000 0.000 4.666" Properties=species:S:1:pos:R:3 pbc="T T T"
Zr 0.000 0.000 0.000
Tc 0.000 0.000 2.333
Tc 0.000 2.333 0.000
Tc 2.333 0.000 0.000
N 2.333 2.333 2.333
```

Calculated values
The calculation puts the uncorrected formation energy at 3.1674 eV per atom. The value obtained for the total energy is -129.33 eV per cell. For the density of states at the Fermi level, the calculation gives 0.840 states/eV/atom.

---

The following is a meta-GGA SCAN calculation of TeN2 at its PBEsol-relaxed geometry, from Alexandria via LeMat-Bulk.

Geometry as extended XYZ:
```
6
Lattice="-1.997 1.997 5.042 1.997 -1.997 5.042 1.997 1.997 -5.042" Properties=species:S:1:pos:R:3 pbc="T T T"
Te 1.997 0.998 1.261
Te 0.000 0.998 3.782
N 1.997 0.998 -0.766
N 0.000 0.998 1.756
N 1.997 0.998 3.287
N 0.000 0.998 5.808
```

Calculated values
The calculation puts the uncorrected formation energy at 1.2532 eV per atom. The value obtained for the total energy is -104.15 eV per cell. For the density of states at the Fermi level, the calculation gives 0.229 states/eV/atom.

---

The following is a meta-GGA SCAN calculation of TiTlTeN2 at its PBEsol-relaxed geometry, from Alexandria via LeMat-Bulk.

Geometry as extended XYZ:
```
5
Lattice="4.014 0.000 0.000 0.000 4.014 0.000 0.000 0.000 5.663" Properties=species:S:1:pos:R:3 pbc="T T T"
Ti 0.000 0.000 0.000
Tl 2.007 2.007 2.832
Te 0.000 0.000 2.832
N 0.000 2.007 0.000
N 2.007 0.000 0.000
```

Calculated values
The calculation puts the uncorrected formation energy at 0.2560 eV per atom. The value obtained for the total energy is -142.94 eV per cell. For the density of states at the Fermi level, the calculation gives 0.402 states/eV/atom.